No. 1
A relaxed structure of MgIrRh. Source: Alexandria via LeMat-Bulk, functional PBE.

a b c (Å): 4.7517 4.7517 6.9141
angles (deg): 90.00 90.00 120.00
Atoms (fractional coordinates):
1 Ir 0.2190 0.4379 0.8333
2 Ir 0.5621 0.7810 0.5000
3 Ir 0.2190 0.7810 0.1667
4 Rh 0.8874 0.1126 0.1667
5 Mg 0.9048 0.4524 0.5000
6 Mg 0.5476 0.4524 0.1667
7 Rh 0.8874 0.7747 0.8333
8 Rh 0.2253 0.1126 0.5000
9 Mg 0.5476 0.0952 0.8333

Values from the calculation:
- Energy of formation from the pure elements: -0.152 eV/atom
- Symmetry: P3_212

=====

No. 2
A relaxed structure of InTcW2. Source: Alexandria via LeMat-Bulk, functional PBE.

a b c (Å): 3.2663 4.4678 4.5601
angles (deg): 90.00 90.00 90.00
Atoms (fractional coordinates):
1 W 0.5000 0.5000 0.0000
2 In 0.5000 0.0000 0.5000
3 W 0.0000 0.0000 0.0000
4 Tc 0.0000 0.5000 0.5000

Values from the calculation:
- Energy of formation from the pure elements: 0.428 eV/atom
- Symmetry: Pmmm

=====

No. 3
A relaxed structure of LuSc2Mo. Source: Alexandria via LeMat-Bulk, functional PBE.

a b c (Å): 3.4989 3.4989 7.3319
angles (deg): 90.00 90.00 90.00
Atoms (fractional coordinates):
1 Lu 0.5000 0.5000 0.5000
2 Mo 0.5000 0.5000 0.0000
3 Sc 0.0000 0.0000 0.1981
4 Sc 0.0000 0.0000 0.8019

Values from the calculation:
- Energy of formation from the pure elements: 0.136 eV/atom
- Symmetry: P4/mmm

=====

No. 4
A relaxed structure of ScSbPd3. Source: Alexandria via LeMat-Bulk, functional PBE.

a b c (Å): 4.8000 4.8000 4.8000
angles (deg): 90.00 90.00 90.00
Atoms (fractional coordinates):
1 Sb 0.5000 0.5000 0.5000
2 Pd 0.5000 0.0000 0.0000
3 Pd 0.0000 0.5000 0.0000
4 Sc 0.0000 0.0000 0.0000
5 Pd 0.0000 0.0000 0.5000

Values from the calculation:
- Symmetry: Pm-3m
- Formation energy without anion corrections: 0.23 eV/atom

=====

No. 5
A relaxed structure of VTcPCl2. Source: Alexandria via LeMat-Bulk, functional PBE.

a b c (Å): 4.8732 4.8732 4.5881
angles (deg): 90.00 90.00 90.00
Each line ends with the local moment (μB).
Atoms (fractional coordinates):
1 Cl 0.5000 0.0000 0.0000  0.00
2 P 0.0000 0.0000 0.5000  0.10
3 Tc 0.0000 0.0000 0.0000  -1.04
4 Cl 0.0000 0.5000 0.0000  0.00
5 V 0.5000 0.5000 0.5000  -3.12

Values from the calculation:
- Symmetry: P4/mmm
- Formation energy without anion corrections: 0.55 eV/atom

=====

No. 6
A relaxed structure of Li2TlRu. Source: Alexandria via LeMat-Bulk, functional PBE.

a b c (Å): 2.8252 2.8252 8.8487
angles (deg): 90.00 90.00 96.64
Each line ends with the local moment (μB).
Atoms (fractional coordinates):
1 Ru 0.5000 0.5000 0.2500  1.00
2 Tl 0.5000 0.5000 0.7500  -0.01
3 Li 0.0000 0.0000 0.4661  -0.01
4 Li 0.0000 0.0000 0.0339  -0.01

Values from the calculation:
- Energy of formation from the pure elements: 0.267 eV/atom
- Symmetry: Cmmm